1.
10
Lattice="0.267 -1.918 -3.298 -0.473 -4.007 2.292 -13.869 1.698 0.109" Properties=species:S:1:pos:R:3 comment="PBE AcYZn3, relaxed" crystal_system=orthorhombic sg="Cmcm, No. 63" energy_ev_per_cell=-31.77 dos_at_fermi_per_ev_cell=9.88 pbc="T T T"
Ac -11.862 -3.337 -1.235
Ac -2.214 -0.889 0.338
Y -6.123 -2.695 1.072
Y -7.953 -1.532 -1.969
Zn -3.658 -3.779 -0.315
Zn -10.417 -0.447 -0.582
Zn -0.875 -3.929 -0.003
Zn -13.200 -0.298 -0.894
Zn -4.913 -1.695 -1.629
Zn -9.162 -2.531 0.731

***

2.
8
Lattice="-4.320 0.516 0.268 -0.395 -4.079 1.486 -1.939 -0.362 4.884" Properties=species:S:1:pos:R:3 comment="PBE Fe2HS, relaxed" crystal_system=tetragonal sg="I-42d, No. 122" polymorph_energy_ev_per_atom=0.000 dos_at_fermi_per_ev_cell=6.89 pbc="T T T"
H -2.357 -1.781 0.877
H -2.345 -3.111 3.624
S 0.000 0.000 0.000
S -4.308 -0.814 3.015
Fe -2.828 -0.327 1.549
Fe -1.677 -2.527 2.209
Fe -3.259 -1.991 4.461
Fe -5.542 -3.006 5.059

***

3.
5
Lattice="-4.823 0.887 -2.694 -2.634 -1.203 4.321 0.114 5.370 1.564" Properties=species:S:1:pos:R:3 comment="PBE CdSb2AsH, relaxed" crystal_system=tetragonal sg="P4/mmm, No. 123" energy_ev_per_cell=-10.95 dos_at_fermi_per_ev_cell=4.20 pbc="T T T"
Sb 0.057 2.685 0.782
Sb -2.411 0.443 -1.347
As -1.317 -0.601 2.160
H -3.672 2.527 1.596
Cd 0.000 0.000 0.000

***

4.
12
Lattice="5.038 0.000 0.000 0.000 9.007 0.000 0.000 0.000 7.170" Properties=species:S:1:pos:R:3 comment="PBE PmPrCu, relaxed" crystal_system=orthorhombic sg="Pnma, No. 62" polymorph_energy_ev_per_atom=0.000 dos_at_fermi_per_ev_cell=11.99 pbc="T T T"
Pm 3.778 8.209 1.019
Pm 3.778 5.302 4.604
Pm 1.259 0.798 6.151
Pm 1.259 3.705 2.566
Pr 1.259 7.443 3.516
Pr 3.778 2.939 0.069
Pr 1.259 6.068 7.101
Pr 3.778 1.564 3.654
Cu 3.778 5.374 1.753
Cu 3.778 8.137 5.338
Cu 1.259 0.870 1.832
Cu 1.259 3.633 5.417

***

What is the formula in the first record? AcYZn3